No. 1
Below is an optimized crystal structure of Rb2ErAgCl6, with properties calculated at the PBE level.

Results
Distance to the lowest polymorph of the same formula = 11 meV per atom
Uncorrected energy = -3.86 eV/atom

a b c (Å): 10.714 10.714 10.714
angles (deg): 90.00 90.00 90.00
Space group Fm-3m (No. 225)
Asymmetric unit:
Rb 0.250 0.250 0.250
Er 0.000 0.000 0.000
Ag 0.000 0.000 0.500
Cl 0.000 0.000 0.244


No. 2
Below is an optimized crystal structure of RbErAgCl5, with properties calculated at the PBE level.

Results
Uncorrected energy = -3.97 eV/atom

a b c (Å): 8.858 12.503 10.116
angles (deg): 90.00 111.24 90.00
Space group C2/c (No. 15)
Asymmetric unit:
Rb 0.000 0.160 0.250
Er 0.000 0.500 0.000
Ag 0.000 0.189 0.750
Cl 0.000 0.436 0.250
Cl 0.099 0.306 0.586
Cl 0.197 0.056 0.934


The E_form (uncorrected) results, record by record, are as follows: -18.2, -14.2 eV per formula unit.